# ZnGeRuSeO

A geometry-optimized ZnGeRuSeO structure (GGA-PBE, Alexandria via LeMat-Bulk).

Computed properties:
**ΔE to the lowest computed polymorph**: 0.015 eV per atom
**V**: 17.3 Å³ per atom
**Magnetic moment**: 0.00 Bohr magnetons per cell
**ΔE_f (raw)**: -0.5599 eV/atom
**Crystal system**: monoclinic

Cell lengths 8.0942, 3.1236, 7.2162 Å; angles 90.00, 108.79, 90.00 degrees
With the nearest neighbours (Å) after each atom.
Atoms (fractional coordinates):
Zn 0.1359 0.0000 0.3807  2 O 1.95
Zn 0.1359 0.5000 0.8807  2 O 1.95
Ge 0.4919 0.0000 0.8988  1 O 1.90
Ge 0.4919 0.5000 0.3988  1 O 1.90
Ru 0.6551 0.0000 0.6747  3 Ge 2.39-2.54, 2 Se 2.47
Ru 0.6551 0.5000 0.1747  3 Ge 2.39-2.54, 2 Se 2.47
Se 0.8472 0.0000 0.4136  1 Zn 2.42, 2 Ru 2.47
Se 0.8472 0.5000 0.9136  1 Zn 2.42, 2 Ru 2.47
O 0.2437 0.0000 0.8044  1 Ge 1.90, 2 Zn 1.95
O 0.2437 0.5000 0.3044  1 Ge 1.90, 2 Zn 1.95

---

# SnBi

A geometry-optimized SnBi structure (GGA-PBE, Alexandria via LeMat-Bulk).

Computed properties:
**V**: 30.0 Å³ per atom
**Energy**: -0.143 Ha/atom
**Magnetic moment**: 0.00 Bohr magnetons per cell
**DOS(E_F)**: 0.848 states/eV/f.u.
**Crystal system**: orthorhombic

Cell lengths 6.4944, 6.4944, 6.5490 Å; angles 90.00, 90.00, 119.69 degrees
With the nearest neighbours (Å) after each atom.
Atoms (fractional coordinates):
Sn 0.3321 0.3321 0.8305  5 Sn 3.12-3.45, 4 Bi 3.37
Sn 0.6679 0.6679 0.1695  5 Sn 3.12-3.45, 4 Bi 3.37
Sn 0.8321 0.8321 0.6695  5 Sn 3.12-3.45, 4 Bi 3.37
Sn 0.1679 0.1679 0.3305  5 Sn 3.12-3.45, 4 Bi 3.37
Bi 0.7922 0.2078 0.0000  6 Sn 3.37-3.63, 4 Bi 3.40-3.41
Bi 0.2922 0.7078 0.5000  6 Sn 3.37-3.63, 4 Bi 3.40-3.41
Bi 0.7078 0.2922 0.5000  6 Sn 3.37-3.63, 4 Bi 3.40-3.41
Bi 0.2078 0.7922 0.0000  6 Sn 3.37-3.63, 4 Bi 3.40-3.41

---

# HfSbPF2

A geometry-optimized HfSbPF2 structure (GGA-PBE, Alexandria via LeMat-Bulk).

Computed properties:
**V**: 19.3 Å³ per atom
**Magnetic moment**: 0.00 Bohr magnetons per cell
**DOS(E_F)**: 1.322 states/eV/f.u.
**ΔE_f (raw)**: -1.6339 eV/atom
**Crystal system**: tetragonal

Cell lengths 4.0617, 5.8623, 4.0617 Å; angles 90.00, 90.00, 90.00 degrees
With the nearest neighbours (Å) after each atom.
Atoms (fractional coordinates):
Sb 0.0000 0.5000 0.0000  4 P 2.87, 2 Hf 2.93
F 0.0000 0.0000 0.5000  2 Hf 2.03
F 0.5000 0.0000 0.0000  2 Hf 2.03
Hf 0.0000 0.0000 0.0000  4 F 2.03
P 0.5000 0.5000 0.5000  4 Sb 2.87

---

# CaLa4In2

A geometry-optimized CaLa4In2 structure (GGA-PBE, Alexandria via LeMat-Bulk).

Computed properties:
**V**: 33.6 Å³ per atom
**Energy**: -0.153 Ha/atom
**Magnetic moment**: 0.00 Bohr magnetons per cell
**DOS(E_F)**: 7.023 states/eV/f.u.
**Crystal system**: trigonal

Cell lengths 5.6094, 5.6094, 9.2256 Å; angles 72.30, 72.30, 60.00 degrees
With the nearest neighbours (Å) after each atom.
Atoms (fractional coordinates):
Ca 0.0000 0.0000 0.0000  6 In 3.57, 8 La 3.79-3.87
In 0.7242 0.7242 0.8273  5 La 3.27-3.46, 3 Ca 3.57
In 0.2758 0.2758 0.1727  5 La 3.27-3.46, 3 Ca 3.57
La 0.8507 0.8507 0.4479  1 In 3.28, 3 La 3.36
La 0.1493 0.1493 0.5521  1 In 3.28, 3 La 3.36
La 0.5906 0.5906 0.2282  4 In 3.27-3.46
La 0.4094 0.4094 0.7718  4 In 3.27-3.46

---

# BeFeRu2

A geometry-optimized BeFeRu2 structure (GGA-PBE, Alexandria via LeMat-Bulk).

Computed properties:
**V**: 12.3 Å³ per atom
**Energy**: -0.277 Ha/atom
**Magnetic moment**: 2.07 Bohr magnetons per cell
**DOS(E_F)**: 5.254 states/eV/f.u.
**Crystal system**: trigonal

Cell lengths 8.1654, 8.1654, 8.1654 Å; angles 18.76, 18.76, 18.76 degrees
With the nearest neighbours (Å) after each atom.
Atoms (fractional coordinates):
Ru 0.0021 0.0021 0.0021  3 Fe 2.59, 9 Ru 2.66-2.69
Ru 0.2437 0.2437 0.2437  3 Be 2.43, 9 Ru 2.66-2.69
Fe 0.7555 0.7555 0.7555  3 Be 2.40, 3 Ru 2.59, 6 Fe 2.66
Be 0.4987 0.4987 0.4987  3 Fe 2.40, 3 Ru 2.43, 6 Be 2.66

---

# Ho2PdRu

A geometry-optimized Ho2PdRu structure (GGA-PBE, Alexandria via LeMat-Bulk).

Computed properties:
**V**: 20.2 Å³ per atom
**Energy**: -0.242 Ha/atom
**Magnetic moment**: 0.00 Bohr magnetons per cell
**DOS(E_F)**: 1.729 states/eV/f.u.
**Crystal system**: cubic

Cell lengths 4.8536, 4.8536, 4.8536 Å; angles 60.00, 60.00, 60.00 degrees
With the nearest neighbours (Å) after each atom.
Atoms (fractional coordinates):
Ru 0.5000 0.5000 0.5000  8 Ho 2.97
Ho 0.2500 0.2500 0.2500  4 Ru 2.97, 4 Pd 2.97
Ho 0.7500 0.7500 0.7500  4 Ru 2.97, 4 Pd 2.97
Pd 0.0000 0.0000 0.0000  8 Ho 2.97

---

# Sm4Pt

A geometry-optimized Sm4Pt structure (GGA-PBE, Alexandria via LeMat-Bulk).

Computed properties:
**ΔE to the lowest computed polymorph**: 0.400 eV per atom
**V**: 34.6 Å³ per atom
**Magnetic moment**: 0.00 Bohr magnetons per cell
**DOS(E_F)**: 7.599 states/eV/f.u.
**Crystal system**: cubic

Cell lengths 7.8837, 7.8837, 7.8837 Å; angles 60.00, 60.00, 60.00 degrees
With the nearest neighbours (Å) after each atom.
Atoms (fractional coordinates):
Sm 0.8604 0.8604 0.8604  1 Pt 2.70
Sm 0.8604 0.4189 0.8604  1 Pt 2.70
Sm 0.8604 0.8604 0.4189  1 Pt 2.70
Sm 0.3896 0.8311 0.3896  1 Pt 2.70
Sm 0.3896 0.3896 0.3896  1 Pt 2.70
Sm 0.4189 0.8604 0.8604  1 Pt 2.70
Sm 0.3896 0.3896 0.8311  1 Pt 2.70
Sm 0.8311 0.3896 0.3896  1 Pt 2.70
Pt 0.2500 0.2500 0.2500  4 Sm 2.70
Pt 0.0000 0.0000 0.0000  4 Sm 2.70

---

# Cs2HgTeBr6

A geometry-optimized Cs2HgTeBr6 structure (GGA-PBE, Alexandria via LeMat-Bulk).

Computed properties:
**ΔE to the lowest computed polymorph**: 0.000 eV per atom
**V**: 40.8 Å³ per atom
**Magnetic moment**: 0.00 Bohr magnetons per cell
**DOS(E_F)**: 0.028 states/eV/f.u.
**ΔE_f (raw)**: -0.9509 eV/atom
**Crystal system**: tetragonal

Cell lengths 8.3348, 8.3348, 8.3190 Å; angles 59.94, 59.94, 90.00 degrees
With the nearest neighbours (Å) after each atom.
Atoms (fractional coordinates):
Cs 0.7500 0.2500 0.5000  12 Br 4.16-4.17
Cs 0.2500 0.7500 0.5000  12 Br 4.16-4.17
Te 0.5000 0.5000 0.0000  6 Br 2.78-2.79
Hg 0.0000 0.0000 0.0000  6 Br 3.08-3.11
Br 0.2620 0.2620 0.4760  1 Te 2.79, 1 Hg 3.08
Br 0.7380 0.7380 0.5240  1 Te 2.79, 1 Hg 3.08
Br 0.2639 0.2639 0.0000  1 Te 2.78, 1 Hg 3.11
Br 0.7361 0.7361 0.0000  1 Te 2.78, 1 Hg 3.11
Br 0.7361 0.2639 0.0000  1 Te 2.78, 1 Hg 3.11
Br 0.2639 0.7361 0.0000  1 Te 2.78, 1 Hg 3.11